Record 1
CaMg8Ir4 | PBE | relaxed

Structure (extended XYZ):
```
13
Lattice="-4.769 3.215 -0.058 -5.254 -2.575 4.044 -0.150 5.014 5.043" Properties=species:S:1:pos:R:3 pbc="T T T"
Ca 0.000 0.000 0.000
Mg -1.813 2.541 4.718
Mg -3.591 -0.103 4.369
Mg -5.197 2.692 6.107
Mg -4.976 2.962 2.922
Mg -6.488 0.743 4.240
Mg -3.685 4.910 4.789
Mg -2.528 1.433 2.033
Mg -7.645 4.221 6.996
Ir -0.075 2.507 2.522
Ir -2.459 4.114 2.493
Ir -2.627 -1.288 2.022
Ir -5.012 0.320 1.993
```

## Properties
Magnetization: 0.00 μB/atom
Uncorrected energy: -4.1930 eV per atom
Energy of formation: -331 meV per atom

=====

Record 2
CaMgIr | PBE | relaxed

Structure (extended XYZ):
```
6
Lattice="5.028 0.001 0.000 2.512 5.473 -0.049 2.515 1.165 5.349" Properties=species:S:1:pos:R:3 pbc="T T T"
Ca 9.161 5.314 5.070
Ca 4.134 1.997 2.418
Mg 4.132 5.391 1.572
Mg 6.647 4.078 3.220
Ir 5.391 2.577 5.092
Ir 7.905 2.577 5.092
```

## Properties
Magnetization: 0.00 μB/atom
Uncorrected energy: -4.3286 eV per atom
Energy of formation: -176 meV per atom

=====

Record 3
Ca2MgIrN | PBE | relaxed

Structure (extended XYZ):
```
5
Lattice="5.114 0.000 0.000 0.000 5.114 0.000 0.000 0.000 3.849" Properties=species:S:1:pos:R:3 pbc="T T T"
Ca 0.000 2.557 0.000
Ca 2.557 0.000 0.000
Ir 0.000 0.000 1.924
Mg 2.557 2.557 1.924
N 0.000 0.000 0.000
```

## Properties
Formation energy from raw total energies: -0.460 eV per atom
Magnetization: 0.00 μB/atom
Uncorrected energy: -5.0171 eV per atom

=====

Record 4
NaCaMg2Ir | PBE | relaxed

Structure (extended XYZ):
```
5
Lattice="-2.673 4.378 0.373 -2.530 -1.176 -4.321 -3.773 -2.550 2.903" Properties=species:S:1:pos:R:3 pbc="T T T"
Na -4.488 0.326 -0.523
Ca -1.887 -1.275 1.452
Ir 0.000 0.000 0.000
Mg -1.265 -0.588 -2.160
Mg -1.336 2.189 0.186
```

## Properties
Magnetization: 0.00 μB/atom
Uncorrected energy: -3.1895 eV per atom
Distance to the lowest polymorph of the same formula: 0.0 meV per atom
Energy of formation: -115 meV per atom

=====

- magnetization of number 4 (NaCaMg2Ir)?
  0.00 μB/atom